Record 1
{
  "formula": "HfZrPb",
  "functional": "GGA-PBE",
  "state": "relaxed",
  "lattice": [[4.200, 0.000, 0.000], [0.000, 4.200, 0.000], [0.000, 0.000, 8.062]],
  "species": ["Hf", "Hf", "Zr", "Zr", "Pb", "Pb"],
  "frac_coords": [[0.250, 0.750, 0.000], [0.750, 0.250, 0.000], [0.250, 0.250, 0.347], [0.750, 0.750, 0.653], [0.250, 0.250, 0.720], [0.750, 0.750, 0.280]],
  "final_energy_ev_per_atom": -7.5211,
  "ef_kcal_per_mol_atoms": -2.717,
  "rho_g_cm3": 11.14,
  "dos_at_fermi_per_ev_atom": 0.48,
  "polymorph_energy_mev_per_atom": 2
}

---

Record 2
{
  "formula": "Cu2Pd4Au",
  "functional": "GGA-PBE",
  "state": "relaxed",
  "lattice": [[6.806, 0.000, 0.000], [0.000, 5.061, 0.000], [-3.321, 0.000, 6.324]],
  "species": ["Cu", "Cu", "Cu", "Cu", "Pd", "Pd", "Pd", "Pd", "Pd", "Pd", "Pd", "Pd", "Au", "Au"],
  "frac_coords": [[0.017, 0.250, 0.421], [0.214, 0.750, 0.000], [0.786, 0.250, 0.000], [0.983, 0.750, 0.579], [0.228, 0.250, 0.207], [0.388, 0.501, 0.776], [0.388, 0.999, 0.776], [0.407, 0.750, 0.426], [0.593, 0.250, 0.574], [0.612, 0.001, 0.224], [0.612, 0.499, 0.224], [0.772, 0.750, 0.793], [0.030, 0.250, 0.786], [0.970, 0.750, 0.214]],
  "final_energy_ev_per_atom": -4.5368,
  "ef_kcal_per_mol_atoms": 1.593,
  "rho_g_cm3": 11.43,
  "dos_at_fermi_per_ev_atom": 0.91,
  "polymorph_energy_mev_per_atom": 0
}

---

Record 3
{
  "formula": "HfHgPOs2",
  "functional": "GGA-PBE",
  "state": "relaxed",
  "lattice": [[4.906, 0.000, 0.000], [0.000, 4.906, 0.000], [0.000, 0.000, 4.820]],
  "species": ["Hf", "Hg", "P", "Os", "Os"],
  "frac_coords": [[0.000, 0.000, 0.000], [0.500, 0.500, 0.500], [0.000, 0.000, 0.500], [0.000, 0.500, 0.000], [0.500, 0.000, 0.000]],
  "final_energy_ev_per_atom": -5.8333,
  "ef_kcal_per_mol_atoms": 41.316,
  "rho_g_cm3": 11.31,
  "dos_at_fermi_per_ev_atom": 1.39
}

---

Record 4
{
  "formula": "LaCe2Ag2Pb2",
  "functional": "GGA-PBE",
  "state": "relaxed",
  "lattice": [[2.437, 1.407, 9.241], [-2.437, 1.407, 9.241], [0.000, -2.814, 9.241]],
  "species": ["La", "Ce", "Ce", "Ag", "Ag", "Pb", "Pb"],
  "frac_coords": [[0.000, 0.000, 0.000], [0.145, 0.145, 0.145], [0.855, 0.855, 0.855], [0.434, 0.434, 0.434], [0.566, 0.566, 0.566], [0.267, 0.267, 0.267], [0.733, 0.733, 0.733]],
  "final_energy_ev_per_atom": -4.5546,
  "ef_kcal_per_mol_atoms": -6.483,
  "rho_g_cm3": 9.16,
  "dos_at_fermi_per_ev_atom": 1.92
}

---

Record 5
{
  "formula": "RbAgOsO4",
  "functional": "GGA-PBE",
  "state": "relaxed",
  "lattice": [[6.308, 0.000, 0.000], [0.000, 6.308, 0.000], [0.000, 0.000, 7.817]],
  "species": ["Rb", "Rb", "Ag", "Ag", "Os", "Os", "O", "O", "O", "O", "O", "O", "O", "O"],
  "frac_coords": [[0.000, 0.000, 0.000], [0.500, 0.500, 0.500], [0.000, 0.000, 0.500], [0.500, 0.500, 0.000], [0.000, 0.500, 0.250], [0.500, 0.000, 0.750], [0.132, 0.738, 0.321], [0.238, 0.368, 0.179], [0.262, 0.132, 0.679], [0.368, 0.762, 0.821], [0.632, 0.238, 0.821], [0.738, 0.868, 0.679], [0.762, 0.632, 0.179], [0.868, 0.262, 0.321]],
  "final_energy_ev_per_atom": -5.8968,
  "rho_g_cm3": 4.78
}

---

Record 6
{
  "formula": "Pm2Al2Os2C",
  "functional": "GGA-PBE",
  "state": "relaxed",
  "lattice": [[11.309, 0.000, 0.000], [0.000, 4.235, 0.000], [-4.641, 0.000, 5.625]],
  "species": ["Pm", "Pm", "Pm", "Pm", "Al", "Al", "Al", "Al", "Os", "Os", "Os", "Os", "C", "C"],
  "frac_coords": [[0.060, 0.000, 0.330], [0.440, 0.500, 0.670], [0.560, 0.500, 0.330], [0.940, 0.000, 0.670], [0.158, 0.500, 0.105], [0.342, 0.000, 0.895], [0.658, 0.000, 0.105], [0.842, 0.500, 0.895], [0.198, 0.500, 0.802], [0.302, 0.000, 0.198], [0.698, 0.000, 0.802], [0.802, 0.500, 0.198], [0.000, 0.500, 0.500], [0.500, 0.000, 0.500]],
  "final_energy_ev_per_atom": -7.3903,
  "ef_kcal_per_mol_atoms": -10.089,
  "rho_g_cm3": 9.08,
  "dos_at_fermi_per_ev_atom": 0.51
}